Material: BeCr2Pb
Method: DFT, GGA-PBE
State: relaxed

The value obtained for the volume is 15.4 Å³ per atom. For the energy relative to the lowest polymorph listed for this composition, the calculation gives 268 meV/atom. The calculation puts the size of the total moment at 22.727 Bohr magnetons per cell. For the energy of formation from the pure elements, the calculation gives 271 kJ/mol of formula units. As for the calculated total energy: -0.4387 Ry per atom.

It has space group Fm-3m (No. 225), with a = 6.266 Å, b = 6.266 Å, c = 6.266 Å, α = 90.00°, β = 90.00° and γ = 90.00°. The distinct sites, in fractional coordinates, are Be at (0.000, 0.000, 0.000), Cr at (0.250, 0.250, 0.250) and Pb at (0.000, 0.000, 0.500).

Material: BeCr2Pb
Method: DFT, GGA-PBE
State: relaxed

The value obtained for the volume is 15.7 Å³ per atom. For the energy relative to the lowest polymorph listed for this composition, the calculation gives 206 meV/atom. The calculation puts the size of the total moment at 0.000 Bohr magnetons per cell. For the energy of formation from the pure elements, the calculation gives 247 kJ/mol of formula units. As for the calculated total energy: -0.4433 Ry per atom.

It has space group P2/m (No. 10), with a = 2.960 Å, b = 4.229 Å, c = 5.008 Å, α = 90.00°, β = 90.33° and γ = 90.00°. The distinct sites, in fractional coordinates, are Be at (0.000, 0.000, 0.000), Cr at (0.268, 0.500, 0.840) and Pb at (0.500, 0.000, 0.500).

Material: BeCrPb2
Method: DFT, GGA-PBE
State: relaxed

The value obtained for the volume is 23.1 Å³ per atom. The calculation puts the size of the total moment at 10.975 Bohr magnetons per cell. For the energy of formation from the pure elements, the calculation gives 201 kJ/mol of formula units. As for the calculated total energy: -0.3433 Ry per atom.

It has space group R3m (No. 160, hexagonal axes), with a = 4.1326 Å, b = 4.1326 Å, c = 18.7297 Å, α = 90.00°, β = 90.00° and γ = 120.00°. The distinct sites, in fractional coordinates, are Be at (0.0000, 0.0000, 0.0000), Cr at (0.0000, 0.0000, 0.6706), Pb at (0.0000, 0.0000, 0.2442) and Pb at (0.0000, 0.0000, 0.4306).

Material: BeCrPb2
Method: DFT, GGA-PBE
State: relaxed

The value obtained for the volume is 21.5 Å³ per atom. The calculation puts the size of the total moment at 3.242 Bohr magnetons per cell. For the energy of formation from the pure elements, the calculation gives 184 kJ/mol of formula units. As for the calculated total energy: -0.3465 Ry per atom.

It has space group P4mm (No. 99), with a = 3.218 Å, b = 3.218 Å, c = 8.295 Å, α = 90.00°, β = 90.00° and γ = 90.00°. The distinct sites, in fractional coordinates, are Be at (0.000, 0.000, 0.000), Cr at (0.500, 0.500, 0.113), Pb at (0.000, 0.000, 0.361) and Pb at (0.500, 0.500, 0.753).

Material: BeCr2Pb
Method: DFT, GGA-PBE
State: relaxed

The value obtained for the volume is 15.1 Å³ per atom. For the energy relative to the lowest polymorph listed for this composition, the calculation gives 325 meV/atom. The calculation puts the size of the total moment at 6.699 Bohr magnetons per cell. For the energy of formation from the pure elements, the calculation gives 293 kJ/mol of formula units. As for the calculated total energy: -0.4345 Ry per atom.

It has space group R-3m (No. 166, hexagonal axes), with a = 3.2333 Å, b = 3.2333 Å, c = 19.9882 Å, α = 90.00°, β = 90.00° and γ = 120.00°. The distinct sites, in fractional coordinates, are Be at (0.0000, 0.0000, 0.0000), Cr at (0.0000, 0.0000, 0.2793) and Pb at (0.0000, 0.0000, 0.5000).

Material: BeCr2Pb
Method: DFT, GGA-PBE
State: relaxed

The value obtained for the volume is 16.1 Å³ per atom. For the energy relative to the lowest polymorph listed for this composition, the calculation gives 309 meV/atom. The calculation puts the size of the total moment at 0.020 Bohr magnetons per cell. For the energy of formation from the pure elements, the calculation gives 286 kJ/mol of formula units. As for the calculated total energy: -0.4357 Ry per atom.

It has space group R3m (No. 160, hexagonal axes), with a = 2.9733 Å, b = 2.9733 Å, c = 25.2412 Å, α = 90.00°, β = 90.00° and γ = 120.00°. The distinct sites, in fractional coordinates, are Be at (0.0000, 0.0000, 0.0000), Cr at (0.0000, 0.0000, 0.2613), Cr at (0.0000, 0.0000, 0.5355) and Pb at (0.0000, 0.0000, 0.7649).

Material: Be2CrPb
Method: DFT, GGA-PBE
State: relaxed

The value obtained for the volume is 14.1 Å³ per atom. The calculation puts the size of the total moment at 2.544 Bohr magnetons per cell. For the energy of formation from the pure elements, the calculation gives 225 kJ/mol of formula units. As for the calculated total energy: -0.3390 Ry per atom.

It has space group P4/mmm (No. 123), with a = 3.913 Å, b = 3.913 Å, c = 3.680 Å, α = 90.00°, β = 90.00° and γ = 90.00°. The distinct sites, in fractional coordinates, are Be at (0.000, 0.500, 0.000), Cr at (0.000, 0.000, 0.500) and Pb at (0.500, 0.500, 0.500).

Material: Be2CrPb
Method: DFT, GGA-PBE
State: relaxed

The value obtained for the volume is 15.5 Å³ per atom. The calculation puts the size of the total moment at 2.656 Bohr magnetons per cell. For the energy of formation from the pure elements, the calculation gives 224 kJ/mol of formula units. As for the calculated total energy: -0.3393 Ry per atom.

It has space group Pmm2 (No. 25), with a = 2.949 Å, b = 3.767 Å, c = 5.565 Å, α = 90.00°, β = 90.00° and γ = 90.00°. The distinct sites, in fractional coordinates, are Be at (0.000, 0.000, 0.000), Be at (0.000, 0.500, 0.178), Cr at (0.500, 0.500, 0.846) and Pb at (0.000, 0.000, 0.516).